1.
A plane-wave DFT calculation with PBE-GGA was carried out for PaInSe4 after structural relaxation.

CIF file:
```
data_PaInSe4
_space_group_name_H-M_alt 'P 1 21/c 1'
_space_group_IT_number 14
_cell_length_a 6.936
_cell_length_b 6.724
_cell_length_c 6.922
_cell_angle_alpha 90.00
_cell_angle_beta 96.11
_cell_angle_gamma 90.00
loop_
_space_group_symop_operation_xyz
'x,y,z'
'-x,-y,-z'
'-x,y+1/2,-z+1/2'
'x,-y+1/2,z+1/2'
loop_
_atom_site_label
_atom_site_fract_x
_atom_site_fract_y
_atom_site_fract_z
_atom_site_occupancy
Pa1 0.000 0.000 0.000 1
In1 0.500 0.000 0.500 1
Se1 0.193 0.201 0.327 1
Se2 0.282 0.716 0.256 1
```

## Properties
The value obtained for the raw formation energy is -19.5 kcal/mol of atoms.

***

2.
A plane-wave DFT calculation with PBE-GGA was carried out for La2SiSnGe after structural relaxation.

CIF file:
```
data_La2SiSnGe
_space_group_name_H-M_alt 'P 4/m m m'
_space_group_IT_number 123
_space_group_name_Hall '-P 4 2'
_cell_length_a 5.745
_cell_length_b 5.745
_cell_length_c 4.690
_cell_angle_alpha 90.00
_cell_angle_beta 90.00
_cell_angle_gamma 90.00
loop_
_atom_site_label
_atom_site_fract_x
_atom_site_fract_y
_atom_site_fract_z
_atom_site_occupancy
La1 0.000 0.500 0.000 1
Si1 0.000 0.000 0.000 1
Sn1 0.500 0.500 0.500 1
Ge1 0.000 0.000 0.500 1
```

## Properties
The value obtained for the raw formation energy is -5.7 kcal/mol of atoms.

***

3.
A plane-wave DFT calculation with PBE-GGA was carried out for CaPaPdS4 after structural relaxation.

CIF file:
```
data_CaPaPdS4
_space_group_name_H-M_alt 'P 1 21/m 1'
_space_group_IT_number 11
_cell_length_a 6.950
_cell_length_b 5.482
_cell_length_c 8.477
_cell_angle_alpha 90.00
_cell_angle_beta 114.14
_cell_angle_gamma 90.00
loop_
_space_group_symop_operation_xyz
'x,y,z'
'-x,-y,-z'
'-x,y+1/2,-z'
'x,-y+1/2,z'
loop_
_atom_site_label
_atom_site_fract_x
_atom_site_fract_y
_atom_site_fract_z
_atom_site_occupancy
Ca1 0.206 0.250 0.458 1
Pa1 0.228 0.250 0.947 1
Pd1 0.289 0.750 0.227 1
S1 0.061 0.750 0.909 1
S2 0.069 0.750 0.378 1
S3 0.441 0.512 0.783 1
```

## Properties
The value obtained for the raw formation energy is -30.7 kcal/mol of atoms.

***

4.
A plane-wave DFT calculation with PBE-GGA was carried out for Tb3AlNi8 after structural relaxation.

CIF file:
```
data_Tb3AlNi8
_space_group_name_H-M_alt 'R 3 m'
_space_group_IT_number 160
_space_group_name_Hall 'R 3 -2"'
_cell_length_a 4.9931
_cell_length_b 4.9931
_cell_length_c 24.5182
_cell_angle_alpha 90.00
_cell_angle_beta 90.00
_cell_angle_gamma 120.00
loop_
_atom_site_label
_atom_site_fract_x
_atom_site_fract_y
_atom_site_fract_z
_atom_site_occupancy
Tb1 0.0000 0.0000 0.0000 1
Tb2 0.0000 0.0000 0.1281 1
Tb3 0.0000 0.0000 0.6160 1
Al1 0.0000 0.0000 0.4926 1
Ni1 0.0000 0.0000 0.3115 1
Ni2 0.0000 0.0000 0.8117 1
Ni3 0.0015 0.5008 0.5594 1
Ni4 0.0033 0.5017 0.0631 1
```

## Properties
As for the excess energy over the best structure of this formula in the dataset: 0.008 eV per atom.